1.
Density functional theory data (PBE) for a relaxed structure of CaReTeN2.

As for the space group: P4/mmm, No. 123. The calculation puts the energy relative to the elements, uncorrected at 0.05 eV/f.u. The value obtained for the density of states at the Fermi level is 0.560 states/eV/atom. The offset from the most stable computed form comes out at 0.0 meV per atom.

Lattice parameters (Å, degrees): 4.008 4.008 5.733 90.00 90.00 90.00
Atoms (fractional coordinates):
Ca (0.000, 0.000, 0.000)
Re (0.500, 0.500, 0.500)
Te (0.500, 0.500, 0.000)
N (0.000, 0.500, 0.500)
N (0.500, 0.000, 0.500)

---

2.
Density functional theory data (PBE) for a relaxed structure of Y3TmIr4.

As for the space group: Pmmm, No. 47. The value obtained for the density of states at the Fermi level is 0.553 states/eV/atom. The value obtained for the formation energy from the elements is -0.809 eV per atom.

Lattice parameters (Å, degrees): 3.315 4.914 9.831 90.00 90.00 90.00
Atoms (fractional coordinates):
Y (0.000, 0.000, 0.000)
Y (0.000, 0.500, 0.251)
Y (0.000, 0.500, 0.749)
Tm (0.000, 0.000, 0.500)
Ir (0.500, 0.000, 0.254)
Ir (0.500, 0.000, 0.746)
Ir (0.500, 0.500, 0.000)
Ir (0.500, 0.500, 0.500)

---

3.
Density functional theory data (PBE) for a relaxed structure of Er2ThNi2.

As for the space group: C2/c, No. 15. The value obtained for the density of states at the Fermi level is 0.875 states/eV/atom. The value obtained for the formation energy from the elements is -0.360 eV per atom. The offset from the most stable computed form comes out at 0.0 meV per atom.

Lattice parameters (Å, degrees): 6.246 6.246 7.112 98.89 98.89 56.51
Atoms (fractional coordinates):
Er (0.051, 0.266, 0.155)
Er (0.266, 0.051, 0.655)
Er (0.734, 0.949, 0.345)
Er (0.949, 0.734, 0.845)
Th (0.400, 0.600, 0.250)
Th (0.600, 0.400, 0.750)
Ni (0.212, 0.466, 0.486)
Ni (0.466, 0.212, 0.986)
Ni (0.534, 0.788, 0.014)
Ni (0.788, 0.534, 0.514)